1.
Here is a geometry-optimized CrIn3F6 structure from the Alexandria database. Energies are from PBE with a Hubbard U.

Unit cell a=9.2361 b=9.2361 c=14.4244 alpha=90.00 beta=90.00 gamma=120.00
Space group R-3 (No. 148, hexagonal axes)
Inequivalent atoms, fractional coordinates:
Cr 0.0000 0.0000 0.0000 [3 per cell]
Cr 0.0000 0.0000 0.5000 [3 per cell]
In 0.0251 0.2397 0.2501 [18 per cell]
F 0.0848 0.2026 0.5757 [18 per cell]
F 0.0973 0.8970 0.9206 [18 per cell]

=====

2.
Here is a geometry-optimized CrInF2 structure from the Alexandria database. Energies are from PBE with a Hubbard U.

Unit cell a=5.518 b=5.518 c=11.156 alpha=90.00 beta=90.00 gamma=90.00
Space group I-42d (No. 122)
Inequivalent atoms, fractional coordinates:
Cr 0.000 0.000 0.000 [4 per cell]
In 0.000 0.000 0.500 [4 per cell]
F 0.147 0.250 0.125 [8 per cell]

=====

3.
Here is a geometry-optimized CrInF4 structure from the Alexandria database. Energies are from PBE with a Hubbard U.

Unit cell a=6.986 b=6.441 c=3.954 alpha=90.00 beta=90.00 gamma=90.00
Space group Pmn2_1 (No. 31)
Inequivalent atoms, fractional coordinates:
Cr 0.000 0.075 0.000 [2 per cell]
In 0.000 0.553 0.506 [2 per cell]
F 0.000 0.061 0.500 [2 per cell]
F 0.000 0.759 0.001 [2 per cell]
F 0.189 0.343 0.997 [4 per cell]

=====

4.
Here is a geometry-optimized Cr2In2F7 structure from the Alexandria database. Energies are from PBE with a Hubbard U.

Unit cell a=6.563 b=8.862 c=5.567 alpha=90.00 beta=90.00 gamma=90.00
Space group Cmmm (No. 65)
Inequivalent atoms, fractional coordinates:
Cr 0.000 0.243 0.000 [4 per cell]
In 0.225 0.500 0.500 [4 per cell]
F 0.000 0.000 0.256 [4 per cell]
F 0.000 0.500 0.000 [2 per cell]
F 0.250 0.250 0.237 [8 per cell]

=====

5.
Here is a geometry-optimized CrInF3 structure from the Alexandria database. Energies are from PBE with a Hubbard U.

Unit cell a=10.489 b=4.736 c=7.290 alpha=90.00 beta=101.16 gamma=90.00
Space group C2/m (No. 12)
Inequivalent atoms, fractional coordinates:
Cr 0.131 0.000 0.413 [4 per cell]
In 0.112 0.500 0.852 [4 per cell]
F 0.070 0.000 0.669 [4 per cell]
F 0.163 0.000 0.151 [4 per cell]
F 0.173 0.500 0.490 [4 per cell]

=====

6.
Here is a geometry-optimized CrInF3 structure from the Alexandria database. Energies are from PBE with a Hubbard U.

Unit cell a=16.212 b=3.220 c=9.339 alpha=90.00 beta=124.90 gamma=90.00
Space group C2/m (No. 12)
Inequivalent atoms, fractional coordinates:
Cr 0.147 0.000 0.311 [4 per cell]
In 0.128 0.500 0.878 [4 per cell]
F 0.057 0.500 0.282 [4 per cell]
F 0.108 0.000 0.035 [4 per cell]
F 0.242 0.500 0.367 [4 per cell]

=====

7.
Here is a geometry-optimized CrInF3 structure from the Alexandria database. Energies are from PBE with a Hubbard U.

Unit cell a=4.434 b=4.434 c=4.434 alpha=90.00 beta=90.00 gamma=90.00
Space group Pm-3m (No. 221)
Inequivalent atoms, fractional coordinates:
Cr 0.000 0.000 0.000 [1 per cell]
In 0.500 0.500 0.500 [1 per cell]
F 0.000 0.500 0.500 [3 per cell]

=====

8.
Here is a geometry-optimized Cr2InF7 structure from the Alexandria database. Energies are from PBE with a Hubbard U.

Unit cell a=6.317 b=11.312 c=3.902 alpha=90.00 beta=90.00 gamma=90.00
Space group Cmmm (No. 65)
Inequivalent atoms, fractional coordinates:
Cr 0.000 0.174 0.000 [4 per cell]
In 0.000 0.500 0.500 [2 per cell]
F 0.000 0.000 0.000 [2 per cell]
F 0.000 0.183 0.500 [4 per cell]
F 0.194 0.349 0.000 [8 per cell]

=====

9.
Here is a geometry-optimized Cr2InF6 structure from the Alexandria database. Energies are from PBE with a Hubbard U.

Unit cell a=5.697 b=9.350 c=5.887 alpha=90.00 beta=90.77 gamma=90.00
Space group C2 (No. 5)
Inequivalent atoms, fractional coordinates:
Cr 0.000 0.000 0.000 [2 per cell]
Cr 0.000 0.334 0.000 [2 per cell]
In 0.000 0.674 0.500 [2 per cell]
F 0.121 0.162 0.186 [4 per cell]
F 0.144 0.860 0.199 [4 per cell]
F 0.201 0.487 0.164 [4 per cell]

=====

10.
Here is a geometry-optimized K4Cr3InF12 structure from the Alexandria database. Energies are from PBE with a Hubbard U.

Unit cell a=8.719 b=8.719 c=8.719 alpha=90.00 beta=90.00 gamma=90.00
Space group Im-3m (No. 229)
Inequivalent atoms, fractional coordinates:
K 0.250 0.250 0.250 [8 per cell]
Cr 0.000 0.000 0.500 [6 per cell]
In 0.000 0.000 0.000 [2 per cell]
F 0.000 0.000 0.279 [12 per cell]
F 0.000 0.250 0.500 [12 per cell]

=====

11.
Here is a geometry-optimized KCrInF6 structure from the Alexandria database. Energies are from PBE with a Hubbard U.

Unit cell a=5.7403 b=5.7403 c=11.0905 alpha=90.00 beta=90.00 gamma=120.00
Space group P-31c (No. 163)
Inequivalent atoms, fractional coordinates:
K 0.0000 0.0000 0.0000 [2 per cell]
Cr 0.3333 0.6667 0.2500 [2 per cell]
In 0.3333 0.6667 0.7500 [2 per cell]
F 0.0026 0.3748 0.6484 [12 per cell]

=====

12.
Here is a geometry-optimized KCr2InF8 structure from the Alexandria database. Energies are from PBE with a Hubbard U.

Unit cell a=4.925 b=5.283 c=7.365 alpha=83.42 beta=86.58 gamma=85.11
Space group P-1 (No. 2)
Inequivalent atoms, fractional coordinates:
K 0.000 0.000 0.000 [1 per cell]
Cr 0.472 0.480 0.243 [2 per cell]
In 0.000 0.000 0.500 [1 per cell]
F 0.183 0.769 0.720 [2 per cell]
F 0.187 0.770 0.303 [2 per cell]
F 0.312 0.257 0.463 [2 per cell]
F 0.375 0.306 0.971 [2 per cell]

=====

13.
Here is a geometry-optimized LiCrInF6 structure from the Alexandria database. Energies are from PBE with a Hubbard U.

Unit cell a=5.5249 b=5.5249 c=8.9379 alpha=90.00 beta=90.00 gamma=120.00
Space group P-31c (No. 163)
Inequivalent atoms, fractional coordinates:
Li 0.0000 0.0000 0.0000 [2 per cell]
Cr 0.3333 0.6667 0.2500 [2 per cell]
In 0.3333 0.6667 0.7500 [2 per cell]
F 0.0014 0.3383 0.6285 [12 per cell]

=====

14.
Here is a geometry-optimized MgCrIn2F6 structure from the Alexandria database. Energies are from PBE with a Hubbard U.

Unit cell a=6.034 b=6.054 c=8.170 alpha=90.00 beta=90.00 gamma=90.00
Space group Immm (No. 71)
Inequivalent atoms, fractional coordinates:
Mg 0.000 0.000 0.000 [2 per cell]
Cr 0.000 0.000 0.500 [2 per cell]
In 0.000 0.500 0.251 [4 per cell]
F 0.000 0.000 0.252 [4 per cell]
F 0.239 0.237 0.000 [8 per cell]

=====

15.
Here is a geometry-optimized CrIn2MoF structure from the Alexandria database. Energies are from PBE with a Hubbard U.

Unit cell a=5.227 b=5.227 c=4.317 alpha=90.00 beta=90.00 gamma=90.00
Space group P4/mmm (No. 123)
Inequivalent atoms, fractional coordinates:
Cr 0.000 0.000 0.000 [1 per cell]
In 0.000 0.500 0.500 [2 per cell]
Mo 0.500 0.500 0.000 [1 per cell]
F 0.500 0.500 0.500 [1 per cell]

=====

16.
Here is a geometry-optimized CrInMoF6 structure from the Alexandria database. Energies are from PBE with a Hubbard U.

Unit cell a=5.7655 b=5.7655 c=11.4232 alpha=90.00 beta=90.00 gamma=120.00
Space group P-31c (No. 163)
Inequivalent atoms, fractional coordinates:
Cr 0.3333 0.6667 0.2500 [2 per cell]
In 0.0000 0.0000 0.0000 [2 per cell]
Mo 0.3333 0.6667 0.7500 [2 per cell]
F 0.0045 0.3704 0.6541 [12 per cell]

=====

17.
Here is a geometry-optimized CrInNF2 structure from the Alexandria database. Energies are from PBE with a Hubbard U.

Unit cell a=4.223 b=4.223 c=3.910 alpha=90.00 beta=90.00 gamma=90.00
Space group P4/mmm (No. 123)
Inequivalent atoms, fractional coordinates:
Cr 0.000 0.000 0.000 [1 per cell]
In 0.500 0.500 0.500 [1 per cell]
N 0.000 0.000 0.500 [1 per cell]
F 0.000 0.500 0.000 [2 per cell]

=====

18.
Here is a geometry-optimized CrInNF2 structure from the Alexandria database. Energies are from PBE with a Hubbard U.

Unit cell a=4.236 b=4.236 c=4.254 alpha=90.00 beta=90.00 gamma=90.00
Space group P4/mmm (No. 123)
Inequivalent atoms, fractional coordinates:
Cr 0.000 0.000 0.000 [1 per cell]
In 0.500 0.500 0.500 [1 per cell]
N 0.500 0.500 0.000 [1 per cell]
F 0.000 0.500 0.500 [2 per cell]

=====

19.
Here is a geometry-optimized NaCrInF6 structure from the Alexandria database. Energies are from PBE with a Hubbard U.

Unit cell a=5.6582 b=5.6582 c=9.5944 alpha=90.00 beta=90.00 gamma=120.00
Space group P-31c (No. 163)
Inequivalent atoms, fractional coordinates:
Na 0.0000 0.0000 0.0000 [2 per cell]
Cr 0.3333 0.6667 0.2500 [2 per cell]
In 0.3333 0.6667 0.7500 [2 per cell]
F 0.0018 0.3560 0.6362 [12 per cell]

=====

20.
Here is a geometry-optimized Na2CrInF8 structure from the Alexandria database. Energies are from PBE with a Hubbard U.

Unit cell a=5.082 b=6.571 c=5.112 alpha=90.00 beta=92.49 gamma=90.00
Space group P2/m (No. 10)
Inequivalent atoms, fractional coordinates:
Na 0.000 0.240 0.000 [2 per cell]
Cr 0.500 0.000 0.500 [1 per cell]
In 0.500 0.500 0.500 [1 per cell]
F 0.211 0.500 0.212 [2 per cell]
F 0.229 0.000 0.229 [2 per cell]
F 0.324 0.232 0.675 [4 per cell]

=====

no.,E (eV/atom)
1,-4.819
2,-4.923
3,-5.195
4,-5.266
5,-5.347
6,-5.328
7,-4.806
8,-5.483
9,-5.670
10,-5.201
11,-5.061
12,-5.396
13,-5.094
14,-5.040
15,-4.274
16,-5.455
17,-5.494
18,-5.164
19,-5.043
20,-5.017